VASP calculation (GGA-PBEsol) on an optimized crystal structure of TaSiHg.

a b c (Å): 2.904 2.904 6.733
angles (deg): 99.37 99.37 104.17
Positions (direct):
1 Hg 0.000 0.000 0.999
2 Ta 0.322 0.322 0.643
3 Si 0.679 0.679 0.358

Summary:
The total DFT energy (no corrections) is -6.0380 eV/atom.

---

VASP calculation (GGA-PBEsol) on an optimized crystal structure of TaSiHg3.

a b c (Å): 5.233 5.233 5.233
angles (deg): 90.00 90.00 90.00
Positions (direct):
1 Hg 0.000 0.000 0.500
2 Hg 0.500 0.000 0.000
3 Si 0.500 0.500 0.500
4 Hg 0.000 0.500 0.000
5 Ta 0.000 0.000 0.000

Summary:
The total DFT energy (no corrections) is -2.7159 eV/atom.

---

VASP calculation (GGA-PBEsol) on an optimized crystal structure of SiTcHg2.

a b c (Å): 2.886 2.886 9.473
angles (deg): 90.00 90.00 112.26
Positions (direct):
1 Hg 0.000 0.000 0.029
2 Hg 0.500 0.500 0.732
3 Tc 0.500 0.500 0.280
4 Si 0.000 0.000 0.460

Summary:
The total DFT energy (no corrections) is -4.2045 eV/atom.

---

VASP calculation (GGA-PBEsol) on an optimized crystal structure of SiTcHg2.

a b c (Å): 2.994 2.994 9.297
angles (deg): 80.74 80.74 60.00
Each line ends with the local moment (μB).
Positions (direct):
1 Hg 0.749 0.749 0.754  0.01
2 Tc 0.000 0.000 0.000  0.82
3 Hg 0.251 0.251 0.246  0.01
4 Si 0.500 0.500 0.500  0.00

Summary:
The total DFT energy (no corrections) is -3.9187 eV/atom.

---

VASP calculation (GGA-PBEsol) on an optimized crystal structure of SiTcHg2.

a b c (Å): 3.377 4.397 5.479
angles (deg): 113.66 107.95 90.00
Positions (direct):
1 Tc 0.213 0.713 0.426
2 Si 0.539 0.539 0.078
3 Hg 0.983 0.983 0.967
4 Hg 0.765 0.265 0.530

Summary:
The total DFT energy (no corrections) is -4.1859 eV/atom.

---

VASP calculation (GGA-PBEsol) on an optimized crystal structure of Si4TcHg.

a b c (Å): 5.016 5.016 5.016
angles (deg): 60.00 60.00 60.00
Positions (direct):
1 Si 0.376 0.871 0.376
2 Si 0.376 0.376 0.871
3 Tc 0.750 0.750 0.750
4 Si 0.376 0.376 0.376
5 Hg 0.000 0.000 0.000
6 Si 0.871 0.376 0.376

Summary:
The total DFT energy (no corrections) is -5.2781 eV/atom.

---

no.,magnetic moment (μB per formula unit),ΔE_f (raw) (kJ/mol of atoms),density (g/cm3)
1,0.0,24,12.81
2,0.0,124,9.40
3,0.0,32,11.99
4,0.9,60,12.35
5,0.0,34,12.48
6,0.0,51,7.65